Entry 1:
{
  "formula": "SmDy2Tm4Sc",
  "functional": "GGA-PBE",
  "state": "relaxed",
  "cell": [[4.932, 0.000, 0.000], [0.000, 4.934, 0.000], [-0.001, 0.000, 9.889]],
  "species": ["Sm", "Dy", "Dy", "Tm", "Tm", "Tm", "Tm", "Sc"],
  "frac_coords": [[0.000, 0.000, 0.000], [0.000, 0.000, 0.500], [0.500, 0.500, 0.000], [0.001, 0.500, 0.744], [0.499, 0.000, 0.256], [0.501, 0.000, 0.744], [0.999, 0.500, 0.256], [0.500, 0.500, 0.500]],
  "mass_density_kg_m3": 8255,
  "total_energy_ev_per_cell": -37.854
}


Entry 2:
{
  "formula": "Ho3Cu9Ni2",
  "functional": "GGA-PBE",
  "state": "relaxed",
  "cell": [[-2.070, 4.391, 5.926], [2.070, -4.391, 5.926], [2.070, 4.391, -5.926]],
  "species": ["Ho", "Ho", "Ho", "Cu", "Cu", "Cu", "Cu", "Cu", "Cu", "Cu", "Cu", "Cu", "Ni", "Ni"],
  "frac_coords": [[0.000, 0.000, 0.000], [0.308, 0.308, 0.000], [0.692, 0.692, 0.000], [0.027, 0.670, 0.357], [0.157, 0.880, 0.277], [0.313, 0.670, 0.643], [0.396, 0.120, 0.277], [0.500, 0.000, 0.500], [0.604, 0.880, 0.723], [0.687, 0.330, 0.357], [0.843, 0.120, 0.723], [0.973, 0.330, 0.643], [0.312, 0.500, 0.812], [0.688, 0.500, 0.188]],
  "mass_density_kg_m3": 9126,
  "total_energy_ev_per_cell": -65.337
}


Entry 3:
{
  "formula": "Pm2NiCl",
  "functional": "GGA-PBE",
  "state": "relaxed",
  "cell": [[4.012, 0.000, 0.000], [-2.006, 3.475, 0.000], [0.000, 0.000, 22.217]],
  "species": ["Pm", "Pm", "Pm", "Pm", "Pm", "Pm", "Ni", "Ni", "Ni", "Cl", "Cl", "Cl"],
  "frac_coords": [[0.000, 0.000, 0.234], [0.000, 0.000, 0.766], [0.333, 0.667, 0.433], [0.333, 0.667, 0.901], [0.667, 0.333, 0.099], [0.667, 0.333, 0.567], [0.000, 0.000, 0.500], [0.333, 0.667, 0.167], [0.667, 0.333, 0.833], [0.000, 0.000, 0.000], [0.333, 0.667, 0.667], [0.667, 0.333, 0.333]],
  "mass_density_kg_m3": 6178,
  "raw_formation_energy_ev_per_atom": -0.9127,
  "total_energy_ev_per_cell": -62.340,
  "relative_energy_mev_per_atom": 0.0
}


Entry 4:
{
  "formula": "BeTcS2N",
  "functional": "GGA-PBE",
  "state": "relaxed",
  "cell": [[4.518, 0.000, 0.000], [0.000, 4.518, 0.000], [0.000, 0.000, 3.093]],
  "species": ["Be", "Tc", "S", "S", "N"],
  "frac_coords": [[0.000, 0.000, 0.000], [0.500, 0.500, 0.500], [0.000, 0.500, 0.000], [0.500, 0.000, 0.000], [0.000, 0.000, 0.500]],
  "mass_density_kg_m3": 4869,
  "raw_formation_energy_ev_per_atom": 0.6878,
  "total_energy_ev_per_cell": -27.233,
  "relative_energy_mev_per_atom": 60.4
}


Entry 5:
{
  "formula": "BeNiW",
  "functional": "GGA-PBE",
  "state": "relaxed",
  "cell": [[9.748, 0.000, 0.000], [0.000, 2.597, 0.000], [-3.965, 0.000, 5.546]],
  "species": ["Be", "Be", "Be", "Be", "Ni", "Ni", "Ni", "Ni", "W", "W", "W", "W"],
  "frac_coords": [[0.000, 0.000, 0.000], [0.043, 0.000, 0.379], [0.500, 0.500, 0.000], [0.543, 0.500, 0.379], [0.294, 0.000, 0.697], [0.347, 0.000, 0.087], [0.794, 0.500, 0.697], [0.847, 0.500, 0.087], [0.076, 0.500, 0.741], [0.259, 0.500, 0.331], [0.576, 0.000, 0.741], [0.759, 0.000, 0.331]],
  "mass_density_kg_m3": 11901,
  "total_energy_ev_per_cell": -89.900,
  "relative_energy_mev_per_atom": 237.3
}


Entry 6:
{
  "formula": "Pm7TlCl12",
  "functional": "GGA-PBE",
  "state": "relaxed",
  "cell": [[7.602, 4.389, 3.009], [-7.602, 4.389, 3.009], [0.000, -8.778, 3.009]],
  "species": ["Pm", "Pm", "Pm", "Pm", "Pm", "Pm", "Pm", "Tl", "Cl", "Cl", "Cl", "Cl", "Cl", "Cl", "Cl", "Cl", "Cl", "Cl", "Cl", "Cl"],
  "frac_coords": [[0.000, 0.000, 0.000], [0.128, 0.343, 0.434], [0.343, 0.434, 0.128], [0.434, 0.128, 0.343], [0.566, 0.872, 0.657], [0.657, 0.566, 0.872], [0.872, 0.657, 0.566], [0.500, 0.500, 0.500], [0.010, 0.336, 0.106], [0.106, 0.010, 0.336], [0.203, 0.708, 0.582], [0.292, 0.418, 0.797], [0.336, 0.106, 0.010], [0.418, 0.797, 0.292], [0.582, 0.203, 0.708], [0.664, 0.894, 0.990], [0.708, 0.582, 0.203], [0.797, 0.292, 0.418], [0.894, 0.990, 0.664], [0.990, 0.664, 0.894]],
  "mass_density_kg_m3": 4534,
  "raw_formation_energy_ev_per_atom": -1.8176,
  "total_energy_ev_per_cell": -94.133
}


Entry 7:
{
  "formula": "LiBi6Pb12",
  "functional": "GGA-PBE",
  "state": "relaxed",
  "cell": [[6.627, 3.826, 4.655], [-6.627, 3.826, 4.655], [0.000, -7.652, 4.655]],
  "species": ["Li", "Bi", "Bi", "Bi", "Bi", "Bi", "Bi", "Pb", "Pb", "Pb", "Pb", "Pb", "Pb", "Pb", "Pb", "Pb", "Pb", "Pb", "Pb"],
  "frac_coords": [[0.000, 0.000, 0.000], [0.150, 0.253, 0.542], [0.253, 0.542, 0.150], [0.458, 0.850, 0.747], [0.542, 0.150, 0.253], [0.747, 0.458, 0.850], [0.850, 0.747, 0.458], [0.054, 0.294, 0.882], [0.118, 0.946, 0.706], [0.189, 0.620, 0.504], [0.294, 0.882, 0.054], [0.380, 0.496, 0.811], [0.496, 0.811, 0.380], [0.504, 0.189, 0.620], [0.620, 0.504, 0.189], [0.706, 0.118, 0.946], [0.811, 0.380, 0.496], [0.882, 0.054, 0.294], [0.946, 0.706, 0.118]],
  "mass_density_kg_m3": 8786,
  "total_energy_ev_per_cell": -67.983,
  "relative_energy_mev_per_atom": 81.6
}


Entry 8:
{
  "formula": "TiGe2CI",
  "functional": "GGA-PBE",
  "state": "relaxed",
  "cell": [[4.376, 0.000, 0.000], [0.000, 4.376, 0.000], [0.000, 0.000, 4.806]],
  "species": ["Ti", "Ge", "Ge", "C", "I"],
  "frac_coords": [[0.000, 0.000, 0.000], [0.000, 0.500, 0.500], [0.500, 0.000, 0.500], [0.500, 0.500, 0.500], [0.500, 0.500, 0.000]],
  "mass_density_kg_m3": 5991,
  "raw_formation_energy_ev_per_atom": 1.1843,
  "total_energy_ev_per_cell": -21.982
}